## CdSbMoO6 (GGA+U)

Data for crystalline CdSbMoO6 at its relaxed geometry.

Computed properties:
DFT total energy ... -54.586 eV/f.u.

a = 4.836 Å, b = 4.836 Å, c = 9.770 Å
α = 90.00°, β = 90.00°, γ = 90.00°
Space group P4_2nm (No. 102)
One atom of each set of equivalent atoms:
Cd 0.000 0.000 0.000 x2
Sb 0.000 0.000 0.335 x2
Mo 0.000 0.000 0.666 x2
O 0.178 0.178 0.503 x4
O 0.211 0.211 0.819 x4
O 0.216 0.216 0.187 x4